Crystalline Ba2AlCd3 at its relaxed geometry, computed with PBE.

Properties
Electronic total energy ... -2.0103 eV/atom
ΔH_f (0 K) ... -0.29 eV/atom

abc: 12.1037 5.1691 8.5142
angles: 90.00 134.66 90.00
With the nearest neighbours (Å) after each atom.
Space group Cm (No. 8)
Inequivalent atoms, fractional coordinates:
Ba (0.0000, 0.0000, 0.0000) [2 per cell]  9 Cd 3.50-3.87, 3 Al 3.55-3.63
Ba (0.1017, 0.0000, 0.5878) [2 per cell]  9 Cd 3.54-3.90, 3 Al 3.62-3.94
Al (0.2167, 0.5000, 0.0319) [2 per cell]  4 Cd 2.86-2.98
Cd (0.2210, 0.5000, 0.3860) [2 per cell]  1 Al 2.98, 3 Cd 3.05-3.19
Cd (0.3763, 0.0000, 0.1804) [2 per cell]  2 Al 2.93, 1 Cd 3.19
Cd (0.4073, 0.0000, 0.5997) [2 per cell]  1 Al 2.86, 2 Cd 3.05